Entry from Alexandria via LeMat-Bulk: a geometry-optimized CeDyGa4 structure (PBE-GGA).

The space group is P6/mmm (No. 191) and the conventional cell measures 4.2500, 4.2500 and 8.2563 Å, with angles of 90.00, 90.00 and 120.00 degrees. The asymmetric unit holds Ce at (0.0000, 0.0000, 0.0000), Dy at (0.0000, 0.0000, 0.5000) and Ga at (0.3333, 0.6667, 0.2530).

For the formation energy from the elements, the calculation gives -621 meV per atom. As for the energy relative to the lowest polymorph listed for this composition: 0.000 eV per atom. As for the total energy: -26.4 eV per cell.

Entry from Alexandria via LeMat-Bulk: a geometry-optimized KSi2Ge2 structure (PBE-GGA).

The space group is P4/mbm (No. 127) and the conventional cell measures 8.2923, 8.2923 and 3.5065 Å, with angles of 90.00, 90.00 and 90.00 degrees. The asymmetric unit holds K at (0.0000, 0.0000, 0.0000), Si at (0.1093, 0.3907, 0.0000) and Ge at (0.1272, 0.6272, 0.5000).

As for the energy relative to the lowest polymorph listed for this composition: 0.143 eV per atom. As for the total energy: -40.2 eV per cell.

Entry from Alexandria via LeMat-Bulk: a geometry-optimized Ce2ScGa3Pd4 structure (PBE-GGA).

The space group is P-4m2 (No. 115) and the conventional cell measures 4.1715, 4.1715 and 11.4089 Å, with angles of 90.00, 90.00 and 90.00 degrees. The asymmetric unit holds Ce at (0.0000, 0.5000, 0.2393), Sc at (0.0000, 0.0000, 0.5000), Ga at (0.0000, 0.5000, 0.8729), Ga at (0.5000, 0.5000, 0.5000), Pd at (0.0000, 0.0000, 0.0000), Pd at (0.0000, 0.5000, 0.6516) and Pd at (0.5000, 0.5000, 0.0000).

For the formation energy from the elements, the calculation gives -755 meV per atom. As for the total energy: -55.6 eV per cell.

Entry from Alexandria via LeMat-Bulk: a geometry-optimized K2PSe5 structure (PBE-GGA).

The space group is P1 (No. 1) and the conventional cell measures 6.4651, 6.5127 and 6.8304 Å, with angles of 108.12, 93.33 and 111.60 degrees. The asymmetric unit holds K at (0.0000, 0.0000, 0.0000), K at (0.3957, 0.7671, 0.5052), P at (0.6063, 0.3168, 0.2336), Se at (0.0266, 0.1572, 0.5382), Se at (0.3929, 0.3443, 0.7452), Se at (0.4792, 0.9242, 0.0661), Se at (0.7686, 0.3902, 0.5824) and Se at (0.9186, 0.5076, 0.1310).

As for the total energy: -29.0 eV per cell.

Entry from Alexandria via LeMat-Bulk: a geometry-optimized LiAg2SnH structure (PBE-GGA).

The space group is P4/mmm (No. 123) and the conventional cell measures 4.3180, 4.3180 and 4.1401 Å, with angles of 90.00, 90.00 and 90.00 degrees. The asymmetric unit holds Li at (0.0000, 0.0000, 0.0000), Ag at (0.0000, 0.5000, 0.5000), Sn at (0.5000, 0.5000, 0.0000) and H at (0.0000, 0.0000, 0.5000).

As for the total energy: -15.1 eV per cell.

Entry from Alexandria via LeMat-Bulk: a geometry-optimized ReNiHg2Rh structure (PBE-GGA).

The space group is P4/mmm (No. 123) and the conventional cell measures 5.2476, 5.2476 and 4.6327 Å, with angles of 90.00, 90.00 and 90.00 degrees. The asymmetric unit holds Re at (0.0000, 0.0000, 0.0000), Ni at (0.5000, 0.5000, 0.5000), Hg at (0.0000, 0.5000, 0.0000) and Rh at (0.0000, 0.0000, 0.5000).

For the formation energy from the elements, the calculation gives 1576 meV per atom. As for the total energy: -18.3 eV per cell.

Entry from Alexandria via LeMat-Bulk: a geometry-optimized K3LaBi2Se6 structure (PBE-GGA).

The space group is C2/m (No. 12) and the conventional cell measures 7.5533, 13.0827 and 8.1318 Å, with angles of 90.00, 108.02 and 90.00 degrees. The asymmetric unit holds K at (0.0000, 0.0000, 0.0000), K at (0.0000, 0.3320, 0.0000), La at (0.0000, 0.5000, 0.5000), Bi at (0.0000, 0.1666, 0.5000), Se at (0.2330, 0.0000, 0.7127) and Se at (0.2395, 0.3310, 0.7120).

As for the total energy: -101.3 eV per cell.

Entry from Alexandria via LeMat-Bulk: a geometry-optimized LaYErTh structure (PBE-GGA).

The space group is P4mm (No. 99) and the conventional cell measures 3.6184, 3.6184 and 10.0888 Å, with angles of 90.00, 90.00 and 90.00 degrees. The asymmetric unit holds La at (0.0000, 0.0000, 0.0000), Y at (0.5000, 0.5000, 0.7343), Er at (0.5000, 0.5000, 0.2595) and Th at (0.0000, 0.0000, 0.4946).

For the formation energy from the elements, the calculation gives 16 meV per atom. As for the energy relative to the lowest polymorph listed for this composition: 0.000 eV per atom. As for the total energy: -23.3 eV per cell.

Entry from Alexandria via LeMat-Bulk: a geometry-optimized LaAs3Au structure (PBE-GGA).

The space group is Pm-3m (No. 221) and the conventional cell measures 5.6680, 5.6680 and 5.6680 Å, with angles of 90.00, 90.00 and 90.00 degrees. The asymmetric unit holds La at (0.0000, 0.0000, 0.0000), As at (0.0000, 0.0000, 0.5000) and Au at (0.5000, 0.5000, 0.5000).

For the formation energy from the elements, the calculation gives 904 meV per atom. As for the energy relative to the lowest polymorph listed for this composition: 1.005 eV per atom. As for the total energy: -17.6 eV per cell.

Entry from Alexandria via LeMat-Bulk: a geometry-optimized RbAl2AgP structure (PBE-GGA).

The space group is P4/mmm (No. 123) and the conventional cell measures 5.9383, 5.9383 and 5.4622 Å, with angles of 90.00, 90.00 and 90.00 degrees. The asymmetric unit holds Rb at (0.0000, 0.0000, 0.0000), Al at (0.0000, 0.5000, 0.0000), Ag at (0.5000, 0.5000, 0.5000) and P at (0.0000, 0.0000, 0.5000).

For the formation energy from the elements, the calculation gives 1739 meV per atom. As for the total energy: -8.0 eV per cell.

Entry from Alexandria via LeMat-Bulk: a geometry-optimized TiBe2Pt2 structure (PBE-GGA).

The space group is P4/mbm (No. 127) and the conventional cell measures 6.8498, 6.8498 and 2.6963 Å, with angles of 90.00, 90.00 and 90.00 degrees. The asymmetric unit holds Ti at (0.0000, 0.0000, 0.0000), Be at (0.1173, 0.3827, 0.0000) and Pt at (0.1766, 0.6766, 0.5000).

For the formation energy from the elements, the calculation gives -752 meV per atom. As for the energy relative to the lowest polymorph listed for this composition: 0.000 eV per atom. As for the total energy: -62.4 eV per cell.

Entry from Alexandria via LeMat-Bulk: a geometry-optimized ZrTa2Al structure (PBE-GGA).

The space group is I-42d (No. 122) and the conventional cell measures 7.6865, 7.6865 and 5.4496 Å, with angles of 90.00, 90.00 and 90.00 degrees. The asymmetric unit holds Zr at (0.0000, 0.0000, 0.0000), Ta at (0.2197, 0.2500, 0.6250) and Al at (0.0000, 0.0000, 0.5000).

For the formation energy from the elements, the calculation gives 521 meV per atom. As for the total energy: -135.7 eV per cell.